Density functional theory data (PBE with a Hubbard U) for LiTl2Ni3F12 after structural relaxation.

- Calculated total energy: -3.9418 eV/atom
- DOS at the Fermi energy: 0.130 states/eV per cell
- Space-group type: No. 166
- Total magnetic moment: 3.000 μB per formula unit

abc: 6.999 6.999 6.999
angles: 62.39 62.39 62.39
Last column: magnetic moment on the atom in μB.
Element x y z (fractional)
F 0.924 0.319 0.319  0.03
F 0.339 0.924 0.924  -0.07
F 0.924 0.339 0.924  -0.07
F 0.076 0.076 0.661  -0.07
F 0.319 0.319 0.924  0.03
F 0.661 0.076 0.076  -0.07
Ni 0.500 0.000 0.000  1.08
F 0.319 0.924 0.319  0.03
Tl 0.372 0.372 0.372  -0.01
Tl 0.628 0.628 0.628  -0.01
F 0.076 0.681 0.681  0.03
F 0.924 0.924 0.339  -0.07
F 0.681 0.076 0.681  0.03
Li 0.000 0.000 0.000  0.00
Ni 0.000 0.000 0.500  1.08
Ni 0.000 0.500 0.000  1.08
F 0.681 0.681 0.076  0.03
F 0.076 0.661 0.076  -0.07